No. 1
First-principles (PBE) data for a relaxed NaHfMnSe3 crystal, as listed in the Alexandria database.

a = 3.7303 Å, b = 8.0269 Å, c = 9.5548 Å
α = 110.56°, β = 90.00°, γ = 90.00°
Closest atoms and distances in Å follow each position.
Element x y z (fractional)
Mn (0.2500, 0.0703, 0.5618)  2 Mn 2.28, 4 Se 2.47-2.50
Na (0.7500, 0.7625, 0.7329)  6 Se 2.97-3.10
Hf (0.2500, 0.6868, 0.1814)  6 Se 2.61-2.79
Se (0.2500, 0.0814, 0.8235)  1 Mn 2.47, 2 Hf 2.65
Se (0.2500, 0.5745, 0.8697)  3 Hf 2.72-2.79, 2 Na 2.97
Se (0.7500, 0.4255, 0.1303)  3 Hf 2.72-2.79, 2 Na 2.97
Mn (0.7500, 0.9297, 0.4382)  2 Mn 2.28, 4 Se 2.47-2.50
Na (0.2500, 0.2375, 0.2671)  6 Se 2.97-3.10
Se (0.2500, 0.7377, 0.4669)  3 Mn 2.49-2.50, 1 Hf 2.61
Hf (0.7500, 0.3132, 0.8186)  6 Se 2.61-2.79
Se (0.7500, 0.2623, 0.5331)  3 Mn 2.49-2.50, 1 Hf 2.61
Se (0.7500, 0.9186, 0.1765)  1 Mn 2.47, 2 Hf 2.65

Values from the calculation:
- Uncorrected formation energy: -947 meV per atom
- Space-group type: No. 11

***

No. 2
First-principles (PBE) data for a relaxed TaZnOsAu2 crystal, as listed in the Alexandria database.

a = 4.9352 Å, b = 4.9352 Å, c = 4.5715 Å
α = 90.00°, β = 90.00°, γ = 90.00°
Closest atoms and distances in Å follow each position.
Element x y z (fractional)
Ta (0.5000, 0.5000, 0.5000)  8 Au 3.36, 4 Zn 3.49
Au (0.5000, 0.0000, 0.0000)  2 Os 2.47
Os (0.0000, 0.0000, 0.0000)  2 Zn 2.29, 4 Au 2.47
Au (0.0000, 0.5000, 0.0000)  2 Os 2.47
Zn (0.0000, 0.0000, 0.5000)  2 Os 2.29

Values from the calculation:
- Space-group type: No. 123

***

No. 3
First-principles (PBE) data for a relaxed Cu5Hg3Te12 crystal, as listed in the Alexandria database.

a = 14.5989 Å, b = 14.5989 Å, c = 14.5989 Å
α = 109.47°, β = 109.47°, γ = 109.47°
Closest atoms and distances in Å follow each position.
Element x y z (fractional)
Te (0.6163, 0.9776, 0.6697)  2 Cu 2.53-2.69
Te (0.3303, 0.5224, 0.3837)  2 Cu 2.53-2.69
Cu (0.0000, 0.0000, 0.0000)  6 Te 2.69
Cu (0.8750, 0.2500, 0.6250)  4 Te 2.53
Te (0.9776, 0.3613, 0.3079)  2 Cu 2.53-2.69
Hg (0.6250, 0.2500, 0.3750)  4 Te 2.94
Cu (0.5000, 0.5000, 0.5000)  6 Te 2.69
Hg (0.3750, 0.7500, 0.6250)  4 Te 2.94
Hg (0.8750, 0.1250, 0.2500)  4 Te 2.94
Cu (0.2500, 0.8750, 0.1250)  4 Te 2.53
Te (0.6387, 0.0224, 0.1921)  2 Cu 2.53-2.69
Te (0.0535, 0.1697, 0.1921)  2 Cu 2.53-2.69
Hg (0.1250, 0.8750, 0.7500)  4 Te 2.94
Cu (0.6250, 0.8750, 0.2500)  4 Te 2.53
Hg (0.2500, 0.1250, 0.3750)  4 Te 2.94
Te (0.0224, 0.3837, 0.8303)  2 Cu 2.53-2.69
Hg (0.6250, 0.3750, 0.7500)  4 Te 2.94
Te (0.8303, 0.9465, 0.3079)  2 Cu 2.53-2.69
Te (0.1387, 0.4465, 0.1163)  2 Cu 2.53-2.69
Te (0.6387, 0.6163, 0.9465)  2 Cu 2.53-2.69
Te (0.1163, 0.9465, 0.1387)  2 Cu 2.53-2.69
Te (0.4776, 0.6697, 0.1163)  2 Cu 2.53-2.69
Te (0.8613, 0.5535, 0.8837)  2 Cu 2.53-2.69
Te (0.1697, 0.0535, 0.6921)  2 Cu 2.53-2.69
Cu (0.6250, 0.7500, 0.8750)  4 Te 2.53
Cu (0.8750, 0.6250, 0.7500)  4 Te 2.53
Hg (0.3750, 0.6250, 0.2500)  4 Te 2.94
Te (0.0224, 0.6387, 0.6921)  2 Cu 2.53-2.69
Te (0.0535, 0.8837, 0.3613)  2 Cu 2.53-2.69
Te (0.4465, 0.1387, 0.6163)  2 Cu 2.53-2.69
Te (0.3613, 0.3837, 0.0535)  2 Cu 2.53-2.69
Te (0.8079, 0.4776, 0.3613)  2 Cu 2.53-2.69
Te (0.3837, 0.0224, 0.3303)  2 Cu 2.53-2.69
Hg (0.7500, 0.8750, 0.6250)  4 Te 2.94
Te (0.8303, 0.8837, 0.0224)  2 Cu 2.53-2.69
Cu (0.3750, 0.1250, 0.7500)  4 Te 2.53
Cu (0.0000, 0.0000, 0.5000)  6 Te 2.69
Te (0.8613, 0.3079, 0.4776)  2 Cu 2.53-2.69
Cu (0.5000, 0.5000, 0.0000)  6 Te 2.69
Cu (0.0000, 0.5000, 0.0000)  6 Te 2.69
Te (0.1163, 0.1697, 0.4776)  2 Cu 2.53-2.69
Cu (0.7500, 0.6250, 0.3750)  4 Te 2.53
Hg (0.2500, 0.6250, 0.8750)  4 Te 2.94
Te (0.5224, 0.1921, 0.1387)  2 Cu 2.53-2.69
Te (0.6921, 0.5535, 0.1697)  2 Cu 2.53-2.69
Te (0.8837, 0.0535, 0.8613)  2 Cu 2.53-2.69
Hg (0.8750, 0.7500, 0.1250)  4 Te 2.94
Te (0.3837, 0.3613, 0.5535)  2 Cu 2.53-2.69
Cu (0.5000, 0.0000, 0.5000)  6 Te 2.69
Te (0.6163, 0.6387, 0.4465)  2 Cu 2.53-2.69
Te (0.1387, 0.6921, 0.5224)  2 Cu 2.53-2.69
Te (0.6697, 0.1921, 0.5535)  2 Cu 2.53-2.69
Te (0.5535, 0.6921, 0.6697)  2 Cu 2.53-2.69
Te (0.3079, 0.4465, 0.8303)  2 Cu 2.53-2.69
Te (0.9465, 0.1163, 0.6387)  2 Cu 2.53-2.69
Cu (0.7500, 0.1250, 0.8750)  4 Te 2.53
Te (0.3079, 0.8613, 0.9776)  2 Cu 2.53-2.69
Te (0.1697, 0.1163, 0.9776)  2 Cu 2.53-2.69
Te (0.6921, 0.1387, 0.0224)  2 Cu 2.53-2.69
Te (0.9465, 0.8303, 0.8079)  2 Cu 2.53-2.69
Cu (0.1250, 0.3750, 0.2500)  4 Te 2.53
Hg (0.1250, 0.2500, 0.8750)  4 Te 2.94
Te (0.8079, 0.3303, 0.9465)  2 Cu 2.53-2.69
Te (0.5224, 0.3303, 0.8837)  2 Cu 2.53-2.69
Cu (0.2500, 0.3750, 0.6250)  4 Te 2.53
Te (0.1921, 0.5224, 0.6387)  2 Cu 2.53-2.69
Te (0.8837, 0.8303, 0.5224)  2 Cu 2.53-2.69
Cu (0.1250, 0.7500, 0.3750)  4 Te 2.53
Cu (0.0000, 0.5000, 0.5000)  6 Te 2.69
Te (0.5535, 0.8613, 0.3837)  2 Cu 2.53-2.69
Te (0.1921, 0.6697, 0.0535)  2 Cu 2.53-2.69
Te (0.3303, 0.8079, 0.4465)  2 Cu 2.53-2.69
Cu (0.3750, 0.2500, 0.1250)  4 Te 2.53
Te (0.9776, 0.6163, 0.1697)  2 Cu 2.53-2.69
Hg (0.7500, 0.3750, 0.1250)  4 Te 2.94
Te (0.4776, 0.8079, 0.8613)  2 Cu 2.53-2.69
Te (0.4465, 0.3079, 0.3303)  2 Cu 2.53-2.69
Te (0.6697, 0.4776, 0.6163)  2 Cu 2.53-2.69
Cu (0.5000, 0.0000, 0.0000)  6 Te 2.69
Te (0.3613, 0.9776, 0.8079)  2 Cu 2.53-2.69

Values from the calculation:
- Uncorrected formation energy: 144 meV per atom
- Space-group type: No. 230

***

No. 4
First-principles (PBE) data for a relaxed TcGeI2O crystal, as listed in the Alexandria database.

a = 5.6017 Å, b = 5.6017 Å, c = 3.7602 Å
α = 90.00°, β = 90.00°, γ = 90.00°
Closest atoms and distances in Å follow each position.
Element x y z (fractional)
I (0.5000, 0.0000, 0.0000)  2 Tc 2.80
Tc (0.0000, 0.0000, 0.0000)  2 O 1.88
O (0.0000, 0.0000, 0.5000)  2 Tc 1.88
I (0.0000, 0.5000, 0.0000)  2 Tc 2.80
Ge (0.5000, 0.5000, 0.5000)  8 I 3.37, 2 Ge 3.76

Values from the calculation:
- Uncorrected formation energy: -57 meV per atom
- Energy above the most stable polymorph in this dataset: 0.000 eV per atom
- Space-group type: No. 123

***

No. 5
First-principles (PBE) data for a relaxed Y3HOs crystal, as listed in the Alexandria database.

a = 4.6417 Å, b = 4.6417 Å, c = 4.6417 Å
α = 90.00°, β = 90.00°, γ = 90.00°
Closest atoms and distances in Å follow each position.
Element x y z (fractional)
Y (0.5000, 0.0000, 0.0000)  2 H 2.32
Y (0.0000, 0.0000, 0.5000)  2 H 2.32
Y (0.0000, 0.5000, 0.0000)  2 H 2.32
Os (0.5000, 0.5000, 0.5000)  12 Y 3.28
H (0.0000, 0.0000, 0.0000)  6 Y 2.32

Values from the calculation:
- Energy above the most stable polymorph in this dataset: 0.000 eV per atom
- Space-group type: No. 221

***

No. 6
First-principles (PBE) data for a relaxed SrScAu2 crystal, as listed in the Alexandria database.

a = 5.8914 Å, b = 5.8914 Å, c = 5.8914 Å
α = 137.07°, β = 137.07°, γ = 62.33°
Closest atoms and distances in Å follow each position.
Element x y z (fractional)
Sr (0.7500, 0.2500, 0.5000)  8 Au 3.05-3.32, 4 Sc 3.32
Au (0.0000, 0.0000, 0.0000)  4 Sc 3.05, 4 Sr 3.32, 4 Au 3.32
Sc (0.5000, 0.5000, 0.0000)  8 Au 3.05-3.32, 4 Sr 3.32
Au (0.2500, 0.7500, 0.5000)  4 Sr 3.05, 4 Sc 3.32, 4 Au 3.32

Values from the calculation:
- Energy above the most stable polymorph in this dataset: 0.331 eV per atom
- Space-group type: No. 119

***

No. 7
First-principles (PBE) data for a relaxed CaZn2Rh2 crystal, as listed in the Alexandria database.

a = 4.4673 Å, b = 4.4673 Å, c = 5.6059 Å
α = 66.52°, β = 66.52°, γ = 90.00°
Closest atoms and distances in Å follow each position.
Element x y z (fractional)
Rh (0.2500, 0.7500, 0.5000)  4 Zn 2.48
Zn (0.6342, 0.6342, 0.7316)  4 Rh 2.48, 1 Zn 2.49
Rh (0.7500, 0.2500, 0.5000)  4 Zn 2.48
Ca (0.0000, 0.0000, 0.0000)  8 Rh 3.22, 10 Zn 3.39
Zn (0.3658, 0.3658, 0.2684)  4 Rh 2.48, 1 Zn 2.49

Values from the calculation:
- Energy above the most stable polymorph in this dataset: 0.068 eV per atom
- Space-group type: No. 139

***

No. 8
First-principles (PBE) data for a relaxed CeNd12Dy7 crystal, as listed in the Alexandria database.

a = 9.7385 Å, b = 9.7385 Å, c = 9.7385 Å
α = 110.49°, β = 110.49°, γ = 110.49°
Closest atoms and distances in Å follow each position.
Element x y z (fractional)
Nd (0.1562, 0.0957, 0.7308)  3 Dy 3.40-3.48, 7 Nd 3.67-3.77, 1 Ce 3.68
Dy (0.4548, 0.2842, 0.1579)  1 Dy 3.02
Dy (0.2842, 0.1579, 0.4548)  1 Dy 3.02
Nd (0.2692, 0.8438, 0.9043)  3 Dy 3.40-3.48, 7 Nd 3.67-3.77, 1 Ce 3.68
Dy (0.5000, 0.5000, 0.5000)  6 Dy 3.02
Dy (0.8421, 0.5452, 0.7158)  1 Dy 3.02
Nd (0.3763, 0.5832, 0.0829)  4 Dy 3.50-3.65, 8 Nd 3.67-3.91
Nd (0.4168, 0.9171, 0.6237)  4 Dy 3.50-3.65, 8 Nd 3.67-3.91
Nd (0.5832, 0.0829, 0.3763)  4 Dy 3.50-3.65, 8 Nd 3.67-3.91
Nd (0.0957, 0.7308, 0.1562)  3 Dy 3.40-3.48, 7 Nd 3.67-3.77, 1 Ce 3.68
Nd (0.8438, 0.9043, 0.2692)  3 Dy 3.40-3.48, 7 Nd 3.67-3.77, 1 Ce 3.68
Nd (0.6237, 0.4168, 0.9171)  4 Dy 3.50-3.65, 8 Nd 3.67-3.91
Dy (0.1579, 0.4548, 0.2842)  1 Dy 3.02
Nd (0.7308, 0.1562, 0.0957)  3 Dy 3.40-3.48, 7 Nd 3.67-3.77, 1 Ce 3.68
Dy (0.5452, 0.7158, 0.8421)  1 Dy 3.02
Nd (0.9043, 0.2692, 0.8438)  3 Dy 3.40-3.48, 7 Nd 3.67-3.77, 1 Ce 3.68
Nd (0.0829, 0.3763, 0.5832)  4 Dy 3.50-3.65, 8 Nd 3.67-3.91
Ce (0.0000, 0.0000, 0.0000)  6 Dy 3.65, 6 Nd 3.68
Nd (0.9171, 0.6237, 0.4168)  4 Dy 3.50-3.65, 8 Nd 3.67-3.91
Dy (0.7158, 0.8421, 0.5452)  1 Dy 3.02

Values from the calculation:
- Energy above the most stable polymorph in this dataset: 0.000 eV per atom
- Space-group type: No. 148

***

No. 9
First-principles (PBE) data for a relaxed BaCuSi2 crystal, as listed in the Alexandria database.

a = 5.4321 Å, b = 5.4321 Å, c = 5.4321 Å
α = 136.46°, β = 106.38°, γ = 89.61°
Closest atoms and distances in Å follow each position.
Element x y z (fractional)
Ba (0.5027, 0.5027, 0.0000)  4 Si 3.26-3.50, 4 Cu 3.36-3.46
Si (0.8346, 0.3346, 0.5000)  2 Si 2.42, 1 Cu 2.46
Cu (0.1533, 0.6533, 0.5000)  3 Si 2.30-2.46
Si (0.0094, 0.0094, 0.0000)  2 Cu 2.30, 2 Si 2.42

Values from the calculation:
- Uncorrected formation energy: 89 meV per atom
- Space-group type: No. 44

***

No. 10
First-principles (PBE) data for a relaxed NaSbAs2Cl crystal, as listed in the Alexandria database.

a = 5.1966 Å, b = 7.0561 Å, c = 5.1966 Å
α = 90.00°, β = 90.00°, γ = 90.00°
Closest atoms and distances in Å follow each position.
Element x y z (fractional)
Na (0.0000, 0.5000, 0.0000)  2 Sb 3.53, 4 Cl 3.67
As (0.5000, 0.0000, 0.0000)  2 Sb 2.60
As (0.0000, 0.0000, 0.5000)  2 Sb 2.60
Sb (0.0000, 0.0000, 0.0000)  4 As 2.60
Cl (0.5000, 0.5000, 0.5000)  4 Na 3.67

Values from the calculation:
- Uncorrected formation energy: 274 meV per atom
- Space-group type: No. 123

***

| no. | total moment (Bohr magnetons per cell) | uncorrected energy (eV per atom) |
| --- | --- | --- |
| 1 | 2.0 | -6.097 |
| 2 | 0.0 | -4.511 |
| 3 | 0.0 | -2.810 |
| 4 | 0.0 | -4.666 |
| 5 | 0.0 | -6.768 |
| 6 | 0.0 | -4.045 |
| 7 | 0.0 | -4.187 |
| 8 | 1.0 | -4.628 |
| 9 | 0.0 | -4.128 |
| 10 | 0.0 | -3.043 |